Record 1
# Sr2ZnTeSe | Alexandria via LeMat-Bulk | PBE | relaxed
# Raw formation energy = -55.8 kJ/mol of atoms
# Magnetic moment = 0.000 μB/atom
# DOS(E_F) = 0.2832 states/eV per atom
# Mass density = 4171 kg/m³
data_Sr2ZnTeSe
_chemical_formula_sum 'Sr2 Zn1 Te1 Se1'
_cell_length_a 6.027
_cell_length_b 6.027
_cell_length_c 4.901
_cell_angle_alpha 90.00
_cell_angle_beta 90.00
_cell_angle_gamma 90.00
_space_group_name_H-M_alt 'P 1'
_space_group_IT_number 1
loop_
_space_group_symop_operation_xyz
'x,y,z'
loop_
_atom_site_label
_atom_site_fract_x
_atom_site_fract_y
_atom_site_fract_z
Sr1 0.000 0.500 0.000
Sr2 0.500 0.000 0.000
Zn1 0.000 0.000 0.000
Te1 0.000 0.000 0.500
Se1 0.500 0.500 0.500

=====

Record 2
# Sr3PbO4 | Alexandria via LeMat-Bulk | PBE | relaxed
# Raw formation energy = -219.9 kJ/mol of atoms
# Offset from the most stable computed form = 0.31 eV/f.u.
# Magnetic moment = 0.000 μB/atom
# DOS(E_F) = 0.0000 states/eV per atom
# Mass density = 5284 kg/m³
data_Sr3PbO4
_chemical_formula_sum 'Sr6 Pb2 O8'
_cell_length_a 8.593
_cell_length_b 7.433
_cell_length_c 5.256
_cell_angle_alpha 90.00
_cell_angle_beta 90.00
_cell_angle_gamma 90.00
_space_group_name_H-M_alt 'P 1'
_space_group_IT_number 1
loop_
_space_group_symop_operation_xyz
'x,y,z'
loop_
_atom_site_label
_atom_site_fract_x
_atom_site_fract_y
_atom_site_fract_z
Sr1 0.000 0.161 0.000
Sr2 0.248 0.668 0.000
Sr3 0.252 0.332 0.500
Sr4 0.500 0.839 0.500
Sr5 0.748 0.332 0.500
Sr6 0.752 0.668 0.000
Pb1 0.000 0.831 0.494
Pb2 0.500 0.169 0.994
O1 0.000 0.169 0.497
O2 0.000 0.831 0.061
O3 0.243 0.337 0.996
O4 0.257 0.663 0.496
O5 0.500 0.169 0.561
O6 0.500 0.831 0.997
O7 0.743 0.663 0.496
O8 0.757 0.337 0.996

=====

- Look up the magnetic moment of the first one.
  0.000 μB/atom

=====

- Which of these has the lowest raw formation energy?
  Sr3PbO4